Material: AcLa2NdH
Method: DFT, PBE
State: relaxed

a b c (Å): 5.320 5.326 5.326
angles (deg): 90.00 90.00 90.00
Fractional coordinates of all 5 atoms:
Ac  0.500  0.500  0.500
La  0.000  0.000  0.500
La  0.000  0.500  0.000
Nd  0.500  0.000  0.000
H  0.000  0.000  0.000

Properties
Energy, Ry/atom: -0.338

Material: LiRe2Ru
Method: DFT, PBE
State: relaxed

a b c (Å): 5.059 5.059 5.059
angles (deg): 145.21 130.56 61.87
Fractional coordinates of all 4 atoms:
Li  0.250  0.750  0.500
Re  0.998  0.998  0.000
Re  0.502  0.502  0.000
Ru  0.750  0.250  0.500

Properties
Relative energy among the computed polymorphs, eV/atom: 0.030

Material: ReTcP2
Method: DFT, PBE
State: relaxed

a b c (Å): 4.039 4.039 5.090
angles (deg): 77.65 77.65 42.41
Fractional coordinates of all 4 atoms:
P  0.000  0.000  0.997
P  0.500  0.500  0.503
Re  0.750  0.750  0.750
Tc  0.250  0.250  0.250

Properties
Relative energy among the computed polymorphs, eV/atom: 0.207

Material: In2BiAs
Method: DFT, PBE
State: relaxed

a b c (Å): 4.523 4.523 8.916
angles (deg): 75.31 75.31 60.00
Fractional coordinates of all 4 atoms:
As  0.000  0.000  0.000
Bi  0.500  0.500  0.500
In  0.102  0.102  0.695
In  0.898  0.898  0.305

Properties
Energy, Ry/atom: -0.224

Material: Nb6IrRh5
Method: DFT, PBE
State: relaxed

a b c (Å): 4.049 7.534 7.534
angles (deg): 109.04 105.56 105.56
Fractional coordinates of all 12 atoms:
Nb  0.250  0.083  0.416
Nb  0.750  0.584  0.917
Nb  0.749  0.249  0.249
Nb  0.251  0.751  0.751
Nb  0.250  0.416  0.083
Nb  0.750  0.917  0.584
Ir  0.000  0.000  0.000
Rh  0.500  0.167  0.833
Rh  0.000  0.333  0.667
Rh  0.500  0.500  0.500
Rh  0.000  0.667  0.333
Rh  0.500  0.833  0.167

Properties
Energy, Ry/atom: -0.682

Material: Ac2Zn5Ni3
Method: DFT, PBE
State: relaxed

a b c (Å): 6.035 8.564 8.564
angles (deg): 91.45 69.26 69.26
Fractional coordinates of all 20 atoms:
Ac  0.232  0.893  0.646
Ac  0.268  0.354  0.107
Ac  0.768  0.107  0.354
Ac  0.732  0.646  0.893
Zn  0.390  0.978  0.240
Zn  0.110  0.760  0.022
Zn  0.610  0.022  0.760
Zn  0.890  0.240  0.978
Zn  0.250  0.281  0.719
Zn  0.750  0.719  0.281
Zn  0.250  0.500  0.500
Zn  0.750  0.500  0.500
Zn  0.250  0.719  0.281
Zn  0.750  0.281  0.719
Ni  0.148  0.238  0.467
Ni  0.352  0.533  0.762
Ni  0.852  0.762  0.533
Ni  0.648  0.467  0.238
Ni  0.250  0.000  0.000
Ni  0.750  0.000  0.000

Properties
Energy, Ry/atom: -0.256

Material: Nd3Ho5As8
Method: DFT, PBE
State: relaxed

a b c (Å): 8.333 8.333 8.331
angles (deg): 59.99 59.99 60.00
Fractional coordinates of all 16 atoms:
Nd  0.500  0.000  0.500
Nd  0.000  0.000  0.500
Nd  0.000  0.500  0.500
Ho  0.500  0.000  0.000
Ho  0.500  0.500  0.000
Ho  0.000  0.000  0.000
Ho  0.000  0.500  0.000
Ho  0.500  0.500  0.500
As  0.250  0.250  0.757
As  0.250  0.743  0.757
As  0.743  0.250  0.757
As  0.746  0.746  0.761
As  0.750  0.750  0.243
As  0.750  0.257  0.243
As  0.257  0.750  0.243
As  0.254  0.254  0.239

Properties
Energy, Ry/atom: -0.453

Material: LuZnCoNi
Method: DFT, PBE
State: relaxed

a b c (Å): 4.355 4.355 4.355
angles (deg): 60.00 60.00 60.00
Fractional coordinates of all 4 atoms:
Ni  0.250  0.250  0.250
Zn  0.500  0.500  0.500
Lu  0.000  0.000  0.000
Co  0.750  0.750  0.750

Properties
Energy, Ry/atom: -0.361

Material: CuAgSnH2
Method: DFT, PBE
State: relaxed

a b c (Å): 3.780 5.751 3.780
angles (deg): 90.00 90.00 90.00
Fractional coordinates of all 5 atoms:
H  0.000  0.000  0.500
H  0.500  0.000  0.000
Cu  0.500  0.500  0.500
Sn  0.000  0.000  0.000
Ag  0.000  0.500  0.000

Properties
Energy, Ry/atom: -0.221

Material: Sn2Ge2Ir3
Method: DFT, PBE
State: relaxed

a b c (Å): 4.046 6.411 5.941
angles (deg): 98.18 89.99 108.37
Fractional coordinates of all 7 atoms:
Sn  0.834  0.669  0.641
Sn  0.166  0.331  0.359
Ge  0.606  0.214  0.899
Ge  0.394  0.786  0.101
Ir  0.000  0.000  0.000
Ir  0.789  0.576  0.186
Ir  0.211  0.424  0.814

Properties
Relative energy among the computed polymorphs, eV/atom: 0.056

Material: In3CF
Method: DFT, PBE
State: relaxed

a b c (Å): 4.790 4.790 4.790
angles (deg): 90.00 90.00 90.00
Fractional coordinates of all 5 atoms:
C  0.000  0.000  0.000
F  0.500  0.500  0.500
In  0.000  0.500  0.000
In  0.000  0.000  0.500
In  0.500  0.000  0.000

Properties
Relative energy among the computed polymorphs, eV/atom: 0.000
Formation energy without anion corrections, eV per atom: 0.36

Material: LaMg2AlPd
Method: DFT, PBE
State: relaxed

a b c (Å): 4.963 4.963 4.841
angles (deg): 90.00 90.00 90.00
Fractional coordinates of all 5 atoms:
Mg  0.000  0.500  0.000
Mg  0.500  0.000  0.000
Al  0.000  0.000  0.500
Pd  0.000  0.000  0.000
La  0.500  0.500  0.500

Properties
Energy, Ry/atom: -0.280

Material: Ba3Sr2
Method: DFT, PBE
State: relaxed

a b c (Å): 18.196 18.196 18.196
angles (deg): 13.83 13.83 13.83
Fractional coordinates of all 5 atoms:
Sr  0.600  0.600  0.600
Sr  0.400  0.400  0.400
Ba  0.000  0.000  0.000
Ba  0.201  0.201  0.201
Ba  0.799  0.799  0.799

Properties
Relative energy among the computed polymorphs, eV/atom: 0.000

Material: Li3IF
Method: DFT, PBE
State: relaxed

a b c (Å): 4.478 4.478 4.478
angles (deg): 90.00 90.00 90.00
Fractional coordinates of all 5 atoms:
I  0.500  0.500  0.500
Li  0.000  0.500  0.000
Li  0.000  0.000  0.500
Li  0.500  0.000  0.000
F  0.000  0.000  0.000

Properties
Relative energy among the computed polymorphs, eV/atom: 0.000
Formation energy without anion corrections, eV per atom: -1.31

Material: Ce2Zn2CdPd5
Method: DFT, PBE
State: relaxed

a b c (Å): 3.823 9.914 9.914
angles (deg): 90.00 90.00 90.00
Fractional coordinates of all 20 atoms:
Ce  0.000  0.679  0.179
Ce  0.000  0.321  0.821
Ce  0.000  0.179  0.321
Ce  0.000  0.821  0.679
Zn  0.000  0.118  0.618
Zn  0.000  0.882  0.382
Zn  0.000  0.618  0.882
Zn  0.000  0.382  0.118
Cd  0.000  0.000  0.000
Cd  0.000  0.500  0.500
Pd  0.500  0.209  0.068
Pd  0.500  0.791  0.932
Pd  0.500  0.068  0.791
Pd  0.500  0.709  0.432
Pd  0.500  0.932  0.209
Pd  0.500  0.291  0.568
Pd  0.500  0.568  0.709
Pd  0.500  0.432  0.291
Pd  0.500  0.500  0.000
Pd  0.500  0.000  0.500

Properties
Energy, Ry/atom: -0.344

Material: CdGe2S4
Method: DFT, PBE
State: relaxed

a b c (Å): 6.053 6.053 6.053
angles (deg): 105.83 105.83 117.04
Fractional coordinates of all 7 atoms:
Cd  0.500  0.500  0.000
Ge  0.250  0.750  0.500
Ge  0.750  0.250  0.500
S  0.326  0.183  0.508
S  0.817  0.326  0.143
S  0.183  0.674  0.857
S  0.674  0.817  0.492

Properties
Formation energy without anion corrections, eV per atom: -0.15

Material: IrOsPb
Method: DFT, PBE
State: relaxed

a b c (Å): 6.204 6.204 6.204
angles (deg): 153.49 145.11 44.35
Fractional coordinates of all 3 atoms:
Ir  0.040  0.040  0.000
Os  0.629  0.629  0.000
Pb  0.331  0.331  0.000

Properties
Relative energy among the computed polymorphs, eV/atom: 0.000

Material: BaCd2Pd2
Method: DFT, PBE
State: relaxed

a b c (Å): 8.312 8.312 3.234
angles (deg): 90.00 90.00 90.00
Fractional coordinates of all 10 atoms:
Ba  0.000  0.000  0.000
Ba  0.500  0.500  0.000
Pd  0.334  0.834  0.000
Pd  0.834  0.666  0.000
Pd  0.666  0.166  0.000
Pd  0.166  0.334  0.000
Cd  0.127  0.627  0.500
Cd  0.627  0.873  0.500
Cd  0.873  0.373  0.500
Cd  0.373  0.127  0.500

Properties
Relative energy among the computed polymorphs, eV/atom: 0.108

Material: Sn2BiPb2
Method: DFT, PBE
State: relaxed

a b c (Å): 4.232 4.232 9.443
angles (deg): 77.05 77.05 90.00
Fractional coordinates of all 5 atoms:
Pb  0.402  0.402  0.195
Pb  0.598  0.598  0.805
Bi  0.000  0.000  0.000
Sn  0.750  0.250  0.500
Sn  0.250  0.750  0.500

Properties
Relative energy among the computed polymorphs, eV/atom: 0.055

Material: SrSnPt
Method: DFT, PBE
State: relaxed

a b c (Å): 4.535 7.721 12.791
angles (deg): 89.77 90.00 90.00
Fractional coordinates of all 18 atoms:
Sr  0.750  0.514  0.375
Sr  0.250  0.986  0.704
Sr  0.750  0.014  0.296
Sr  0.750  0.642  0.078
Sr  0.250  0.486  0.625
Sr  0.250  0.358  0.922
Sn  0.250  0.978  0.090
Sn  0.250  0.836  0.456
Sn  0.750  0.651  0.793
Sn  0.750  0.164  0.544
Sn  0.250  0.349  0.207
Sn  0.750  0.022  0.910
Pt  0.250  0.786  0.904
Pt  0.750  0.283  0.753
Pt  0.750  0.790  0.573
Pt  0.750  0.214  0.096
Pt  0.250  0.210  0.427
Pt  0.250  0.717  0.247

Properties
Energy, Ry/atom: -0.348